No. 1
# MnCd2Tc, optimized geometry, DFT PBE-GGA
# energy above the lowest structure with this stoichiometry: 0.675 eV/atom
data_MnCd2Tc
_chemical_formula_sum 'Mn4 Cd8 Tc4'
_cell_length_a 6.401
_cell_length_b 6.401
_cell_length_c 6.401
_cell_angle_alpha 90.00
_cell_angle_beta 90.00
_cell_angle_gamma 90.00
_symmetry_space_group_name_H-M 'F m -3 m'
_symmetry_Int_Tables_number 225
_symmetry_space_group_name_Hall '-F 4 2 3'
loop_
_atom_site_label
_atom_site_type_symbol
_atom_site_fract_x
_atom_site_fract_y
_atom_site_fract_z
Mn1 Mn 0.000 0.000 0.000
Cd1 Cd 0.250 0.250 0.250
Tc1 Tc 0.000 0.000 0.500



No. 2
# CsIn2Cl3, optimized geometry, DFT PBE-GGA
# formation energy from raw total energies: -1.15 eV per atom
# energy above the lowest structure with this stoichiometry: 0.040 eV/atom
data_CsIn2Cl3
_chemical_formula_sum 'Cs4 In8 Cl12'
_cell_length_a 7.187
_cell_length_b 19.222
_cell_length_c 7.187
_cell_angle_alpha 90.00
_cell_angle_beta 90.00
_cell_angle_gamma 90.00
_symmetry_space_group_name_H-M 'F m m 2'
_symmetry_Int_Tables_number 42
_symmetry_space_group_name_Hall 'F 2 -2'
loop_
_atom_site_label
_atom_site_type_symbol
_atom_site_fract_x
_atom_site_fract_y
_atom_site_fract_z
Cs1 Cs 0.000 0.000 0.000
In1 In 0.000 0.172 0.500
Cl1 Cl 0.000 0.000 0.500
Cl2 Cl 0.000 0.179 0.999



No. 3
TmSc3Ni2 | PBE-GGA | optimized geometry

The structure in CIF format:
```
data_TmSc3Ni2
_chemical_formula_sum 'Tm2 Sc6 Ni4'
_cell_length_a 3.442
_cell_length_b 8.884
_cell_length_c 7.970
_cell_angle_alpha 90.00
_cell_angle_beta 90.00
_cell_angle_gamma 90.00
_symmetry_space_group_name_H-M 'P m c 21'
_symmetry_Int_Tables_number 26
loop_
_symmetry_equiv_pos_as_xyz
'x,y,z'
'-x,-y,z+1/2'
'-x,y,z'
'x,-y,z+1/2'
loop_
_atom_site_label
_atom_site_type_symbol
_atom_site_fract_x
_atom_site_fract_y
_atom_site_fract_z
Tm1 Tm 0.000 0.071 0.000
Sc1 Sc 0.000 0.291 0.663
Sc2 Sc 0.500 0.221 0.319
Sc3 Sc 0.500 0.436 0.981
Ni1 Ni 0.000 0.426 0.257
Ni2 Ni 0.500 0.078 0.722
```



No. 4
# Al3BPd, optimized geometry, DFT PBE-GGA
# energy above the lowest structure with this stoichiometry: 0.000 eV/atom
data_Al3BPd
_chemical_formula_sum 'Al3 B1 Pd1'
_cell_length_a 4.138
_cell_length_b 4.138
_cell_length_c 4.138
_cell_angle_alpha 90.00
_cell_angle_beta 90.00
_cell_angle_gamma 90.00
_symmetry_space_group_name_H-M 'P m -3 m'
_symmetry_Int_Tables_number 221
_symmetry_space_group_name_Hall '-P 4 2 3'
loop_
_atom_site_label
_atom_site_type_symbol
_atom_site_fract_x
_atom_site_fract_y
_atom_site_fract_z
Al1 Al 0.000 0.000 0.500
B1 B 0.000 0.000 0.000
Pd1 Pd 0.500 0.500 0.500



No. 5
Rh2W | PBE-GGA | optimized geometry

The structure in CIF format:
```
data_Rh2W
_chemical_formula_sum 'Rh4 W2'
_cell_length_a 2.7784
_cell_length_b 2.7784
_cell_length_c 13.3797
_cell_angle_alpha 90.00
_cell_angle_beta 90.00
_cell_angle_gamma 120.00
_symmetry_space_group_name_H-M 'P 63/m m c'
_symmetry_Int_Tables_number 194
_symmetry_space_group_name_Hall '-P 6c 2c'
loop_
_atom_site_label
_atom_site_type_symbol
_atom_site_fract_x
_atom_site_fract_y
_atom_site_fract_z
Rh1 Rh 0.3333 0.6667 0.0888
W1 W 0.0000 0.0000 0.2500
```



No. 6
Cs2Pb17 | PBE-GGA | optimized geometry

The structure in CIF format:
```
data_Cs2Pb17
_chemical_formula_sum 'Cs6 Pb51'
_cell_length_a 11.6294
_cell_length_b 11.6294
_cell_length_c 17.3615
_cell_angle_alpha 90.00
_cell_angle_beta 90.00
_cell_angle_gamma 120.00
_symmetry_space_group_name_H-M 'R -3 m'
_symmetry_Int_Tables_number 166
_symmetry_space_group_name_Hall '-R 3 2"'
loop_
_atom_site_label
_atom_site_type_symbol
_atom_site_fract_x
_atom_site_fract_y
_atom_site_fract_z
Cs1 Cs 0.0000 0.0000 0.1576
Pb1 Pb 0.0000 0.0000 0.4027
Pb2 Pb 0.0000 0.2923 0.5000
Pb3 Pb 0.0000 0.5000 0.0000
Pb4 Pb 0.0024 0.5012 0.3471
```



No. 7
# Mg2PbI2, optimized geometry, DFT PBE-GGA
# formation energy from raw total energies: -0.08 eV per atom
# energy above the lowest structure with this stoichiometry: 0.153 eV/atom
data_Mg2PbI2
_chemical_formula_sum 'Mg4 Pb2 I4'
_cell_length_a 5.249
_cell_length_b 5.249
_cell_length_c 12.051
_cell_angle_alpha 90.00
_cell_angle_beta 90.00
_cell_angle_gamma 90.00
_symmetry_space_group_name_H-M 'I 4/m m m'
_symmetry_Int_Tables_number 139
_symmetry_space_group_name_Hall '-I 4 2'
loop_
_atom_site_label
_atom_site_type_symbol
_atom_site_fract_x
_atom_site_fract_y
_atom_site_fract_z
Mg1 Mg 0.000 0.000 0.119
Pb1 Pb 0.000 0.000 0.500
I1 I 0.000 0.500 0.250



No. 8
# SbP4O12, optimized geometry, DFT PBE-GGA
# formation energy from raw total energies: -1.88 eV per atom
# energy above the lowest structure with this stoichiometry: 0.003 eV/atom
data_SbP4O12
_chemical_formula_sum 'Sb4 P16 O48'
_cell_length_a 13.607
_cell_length_b 7.982
_cell_length_c 9.635
_cell_angle_alpha 90.00
_cell_angle_beta 90.00
_cell_angle_gamma 90.00
_symmetry_space_group_name_H-M 'P b c n'
_symmetry_Int_Tables_number 60
loop_
_symmetry_equiv_pos_as_xyz
'x,y,z'
'-x,-y,-z'
'-x+1/2,-y+1/2,z+1/2'
'x+1/2,y+1/2,-z+1/2'
'x+1/2,-y+1/2,-z'
'-x+1/2,y+1/2,z'
'-x,y,-z+1/2'
'x,-y,z+1/2'
loop_
_atom_site_label
_atom_site_type_symbol
_atom_site_fract_x
_atom_site_fract_y
_atom_site_fract_z
Sb1 Sb 0.000 0.162 0.250
P1 P 0.147 0.048 0.524
P2 P 0.152 0.330 0.008
O1 O 0.071 0.042 0.640
O2 O 0.075 0.335 0.125
O3 O 0.117 0.155 0.400
O4 O 0.136 0.428 0.881
O5 O 0.173 0.134 0.970
O6 O 0.245 0.122 0.587



Here are the calculated raw total energy numbers, same order: -71.75, -75.02, -74.05, -22.90, -56.20, -197.31, -20.80, -469.00 (eV per cell).